MgZr5Ir6: relaxed, PBE. Values from VASP.

Properties
- E_tot: -0.326 hartree per atom
- Fermi-level density of states: 0.760 states/eV per atom
- DFT formation energy: -0.758 eV per atom

The structure in Quantum ESPRESSO input format:
```
&SYSTEM
  ibrav = 0, nat = 12, ntyp = 3
/
ATOMIC_SPECIES
Mg 24.30 Mg.upf
Zr 91.22 Zr.upf
Ir 192.22 Ir.upf
ATOMIC_POSITIONS angstrom
Mg 0.0000 0.0000 0.0000
Zr 2.2219 0.0000 2.1873
Zr 0.0000 0.0000 4.4802
Zr 0.0000 3.5761 0.0000
Zr 0.0000 0.0000 8.8083
Zr 0.0000 3.5761 4.4569
Ir 2.2219 -1.8372 4.4219
Ir 2.2219 1.7299 0.0000
Ir 0.0000 1.7389 2.2223
Ir 2.2219 1.8372 4.4219
Ir 0.0000 1.8462 6.6443
Ir 0.0000 5.4133 2.2223
CELL_PARAMETERS angstrom
-2.2219 3.5761 6.6443
2.2219 -3.5761 6.6443
2.2219 3.5761 -6.6443
```